[1]
This record from Alexandria describes a crystal of Mg2NiBr relaxed with PBEsol. The functional is meta-GGA SCAN.

abc: 4.7757 4.7757 3.1391
angles: 90.00 90.00 90.00
With the nearest neighbours (Å) after each atom.
Fractional positions:
Mg  0.0000  0.5000  0.0000  4 Br 2.86, 4 Ni 2.86, 2 Mg 3.14
Mg  0.5000  0.0000  0.0000  4 Br 2.86, 4 Ni 2.86, 2 Mg 3.14
Ni  0.0000  0.0000  0.5000  8 Mg 2.86, 2 Ni 3.14
Br  0.5000  0.5000  0.5000  8 Mg 2.86, 2 Br 3.14

Energy relative to the elements, uncorrected (kJ/mol of atoms): -4.8
SG: No. 123
Relative energy among the computed polymorphs (kJ per mole of atoms): 19.23

[2]
This record from Alexandria describes a crystal of Mg2NiBr relaxed with PBEsol. The functional is meta-GGA SCAN.

abc: 7.9752 7.9752 7.9752
angles: 24.25 24.25 24.25
With the nearest neighbours (Å) after each atom.
Fractional positions:
Mg  0.2402  0.2402  0.2402  3 Ni 2.58
Mg  0.7598  0.7598  0.7598  3 Ni 2.58
Ni  0.5000  0.5000  0.5000  6 Mg 2.58
Br  0.0000  0.0000  0.0000  6 Mg 2.90

Energy relative to the elements, uncorrected (kJ/mol of atoms): -24.1
SG: No. 166
Relative energy among the computed polymorphs (kJ per mole of atoms): 0.00

Asked for DFT total energy across the records above, the calculation gives -11.45, -11.64 eV per atom in order.